# GdHoTmLu

An optimized crystal structure of GdHoTmLu (PBE-GGA, the Alexandria database).

Density (Mg/m³): 8.91
Uncorrected energy (eV per atom): -6.8018

Geometry as CIF:
```
data_GdHoTmLu
_chemical_formula_sum 'Gd4 Ho4 Tm4 Lu4'
_symmetry_space_group_name_H-M 'F -4 3 m'
_symmetry_Int_Tables_number 216
_symmetry_space_group_name_Hall 'F -4 2 3'
_cell_length_a 7.918
_cell_length_b 7.918
_cell_length_c 7.918
_cell_angle_alpha 90.00
_cell_angle_beta 90.00
_cell_angle_gamma 90.00
loop_
_atom_site_label
_atom_site_type_symbol
_atom_site_fract_x
_atom_site_fract_y
_atom_site_fract_z
Gd1 Gd 0.000 0.000 0.000
Ho1 Ho 0.000 0.000 0.500
Tm1 Tm 0.250 0.250 0.250
Lu1 Lu 0.250 0.250 0.750
```

# GdHoLuZn

An optimized crystal structure of GdHoLuZn (PBE-GGA, the Alexandria database).

Density (Mg/m³): 8.90
Uncorrected energy (eV per atom): -6.1001

Geometry as CIF:
```
data_GdHoLuZn
_chemical_formula_sum 'Gd4 Ho4 Lu4 Zn4'
_symmetry_space_group_name_H-M 'F -4 3 m'
_symmetry_Int_Tables_number 216
_symmetry_space_group_name_Hall 'F -4 2 3'
_cell_length_a 7.488
_cell_length_b 7.488
_cell_length_c 7.488
_cell_angle_alpha 90.00
_cell_angle_beta 90.00
_cell_angle_gamma 90.00
loop_
_atom_site_label
_atom_site_type_symbol
_atom_site_fract_x
_atom_site_fract_y
_atom_site_fract_z
Gd1 Gd 0.000 0.000 0.000
Ho1 Ho 0.000 0.000 0.500
Lu1 Lu 0.250 0.250 0.250
Zn1 Zn 0.250 0.250 0.750
```

# GdHoLuZr

An optimized crystal structure of GdHoLuZr (PBE-GGA, the Alexandria database).

Density (Mg/m³): 8.55
Uncorrected energy (eV per atom): -7.7347

Geometry as CIF:
```
data_GdHoLuZr
_chemical_formula_sum 'Gd4 Ho4 Lu4 Zr4'
_symmetry_space_group_name_H-M 'F -4 3 m'
_symmetry_Int_Tables_number 216
_symmetry_space_group_name_Hall 'F -4 2 3'
_cell_length_a 7.704
_cell_length_b 7.704
_cell_length_c 7.704
_cell_angle_alpha 90.00
_cell_angle_beta 90.00
_cell_angle_gamma 90.00
loop_
_atom_site_label
_atom_site_type_symbol
_atom_site_fract_x
_atom_site_fract_y
_atom_site_fract_z
Gd1 Gd 0.000 0.000 0.000
Ho1 Ho 0.250 0.250 0.250
Lu1 Lu 0.250 0.250 0.750
Zr1 Zr 0.000 0.000 0.500
```

# GdHoMg4

An optimized crystal structure of GdHoMg4 (PBE-GGA, the Alexandria database).

Density (Mg/m³): 4.47
Uncorrected energy (eV per atom): -4.2525

Geometry as CIF:
```
data_GdHoMg4
_chemical_formula_sum 'Gd4 Ho4 Mg16'
_symmetry_space_group_name_H-M 'F -4 3 m'
_symmetry_Int_Tables_number 216
_symmetry_space_group_name_Hall 'F -4 2 3'
_cell_length_a 8.542
_cell_length_b 8.542
_cell_length_c 8.542
_cell_angle_alpha 90.00
_cell_angle_beta 90.00
_cell_angle_gamma 90.00
loop_
_atom_site_label
_atom_site_type_symbol
_atom_site_fract_x
_atom_site_fract_y
_atom_site_fract_z
Gd1 Gd 0.000 0.000 0.000
Ho1 Ho 0.250 0.250 0.250
Mg1 Mg 0.125 0.125 0.625
```

# GdHoMg

An optimized crystal structure of GdHoMg (PBE-GGA, the Alexandria database).

Density (Mg/m³): 6.59
Relative energy among the computed polymorphs (eV per atom): 0.000

Geometry as CIF:
```
data_GdHoMg
_chemical_formula_sum 'Gd2 Ho2 Mg2'
_symmetry_space_group_name_H-M 'I 4 m m'
_symmetry_Int_Tables_number 107
_symmetry_space_group_name_Hall 'I 4 -2'
_cell_length_a 3.653
_cell_length_b 3.653
_cell_length_c 13.076
_cell_angle_alpha 90.00
_cell_angle_beta 90.00
_cell_angle_gamma 90.00
loop_
_atom_site_label
_atom_site_type_symbol
_atom_site_fract_x
_atom_site_fract_y
_atom_site_fract_z
Gd1 Gd 0.000 0.000 0.000
Ho1 Ho 0.000 0.000 0.680
Mg1 Mg 0.000 0.000 0.336
```

# Gd2HoMg

An optimized crystal structure of Gd2HoMg (PBE-GGA, the Alexandria database).

Density (Mg/m³): 6.96
Relative energy among the computed polymorphs (eV per atom): 0.032

Geometry as CIF:
```
data_Gd2HoMg
_chemical_formula_sum 'Gd2 Ho1 Mg1'
_symmetry_space_group_name_H-M 'P 4/m m m'
_symmetry_Int_Tables_number 123
_symmetry_space_group_name_Hall '-P 4 2'
_cell_length_a 4.969
_cell_length_b 4.969
_cell_length_c 4.865
_cell_angle_alpha 90.00
_cell_angle_beta 90.00
_cell_angle_gamma 90.00
loop_
_atom_site_label
_atom_site_type_symbol
_atom_site_fract_x
_atom_site_fract_y
_atom_site_fract_z
Gd1 Gd 0.000 0.500 0.000
Ho1 Ho 0.000 0.000 0.500
Mg1 Mg 0.500 0.500 0.500
```

Calculated values (μB per cell) of spin magnetization for the records, taken in order: 30.96; 30.08; 22.15; 31.01; 15.58; 15.87.